First-principles (PBE) data for an optimized crystal structure of Sn6Te3PSe2, as listed in the Alexandria database.

```
data_Sn6Te3PSe2
_space_group_name_H-M_alt 'P 1'
_space_group_IT_number 1
_cell_length_a 7.543
_cell_length_b 7.543
_cell_length_c 7.478
_cell_angle_alpha 99.65
_cell_angle_beta 99.65
_cell_angle_gamma 120.07
loop_
_space_group_symop_operation_xyz
'x,y,z'
loop_
_atom_site_label
_atom_site_type_symbol
_atom_site_fract_x
_atom_site_fract_y
_atom_site_fract_z
_atom_site_occupancy
Sn1 Sn 0.075 0.391 0.223 1
Sn2 Sn 0.240 0.240 0.769 1
Sn3 Sn 0.391 0.075 0.223 1
Sn4 Sn 0.609 0.925 0.777 1
Sn5 Sn 0.760 0.760 0.231 1
Sn6 Sn 0.925 0.609 0.777 1
Te1 Te 0.168 0.832 0.500 1
Te2 Te 0.500 0.500 0.500 1
Te3 Te 0.832 0.168 0.500 1
P1 P 0.000 0.000 0.000 1
Se1 Se 0.332 0.668 0.000 1
Se2 Se 0.668 0.332 0.000 1
```

Output
Calculated total energy   -48.9 eV for the cell shown